# 1
Computed, not measured: crystalline KNaAgF3 at its relaxed geometry at the PBE level of DFT.

```
data_KNaAgF3
_space_group_name_H-M_alt 'P 1 21/m 1'
_space_group_IT_number 11
_cell_length_a 6.1463
_cell_length_b 3.4483
_cell_length_c 9.3656
_cell_angle_alpha 90.00
_cell_angle_beta 103.07
_cell_angle_gamma 90.00
loop_
_space_group_symop_operation_xyz
'x,y,z'
'-x,-y,-z'
'-x,y+1/2,-z'
'x,-y+1/2,z'
loop_
_atom_site_label
_atom_site_type_symbol
_atom_site_fract_x
_atom_site_fract_y
_atom_site_fract_z
K1 K 0.1476 0.2500 0.2033
Na1 Na 0.2663 0.7500 0.5464
Ag1 Ag 0.3735 0.2500 0.8530
F1 F 0.0604 0.2500 0.6468
F2 F 0.2418 0.7500 0.0015
F3 F 0.4612 0.7500 0.3552
```

Results
Energy relative to the elements, uncorrected: -2.116 eV/atom
D(E_F): 0.00 states/eV per atom
VASP energy: -47.2 eV for the cell shown

=====

# 2
Computed, not measured: crystalline K2Na2AgF7 at its relaxed geometry at the PBE level of DFT.

```
data_K2Na2AgF7
_space_group_name_H-M_alt 'C 1 2/m 1'
_space_group_IT_number 12
_cell_length_a 5.3617
_cell_length_b 7.1930
_cell_length_c 11.0761
_cell_angle_alpha 90.00
_cell_angle_beta 101.25
_cell_angle_gamma 90.00
loop_
_space_group_symop_operation_xyz
'x,y,z'
'-x,-y,-z'
'-x,y,-z'
'x,-y,z'
'x+1/2,y+1/2,z'
'-x+1/2,-y+1/2,-z'
'-x+1/2,y+1/2,-z'
'x+1/2,-y+1/2,z'
loop_
_atom_site_label
_atom_site_type_symbol
_atom_site_fract_x
_atom_site_fract_y
_atom_site_fract_z
K1 K 0.2016 0.0000 0.3744
Na1 Na 0.1484 0.5000 0.1874
Ag1 Ag 0.0000 0.0000 0.0000
F1 F 0.0000 0.5000 0.0000
F2 F 0.0197 0.1744 0.1445
F3 F 0.2028 0.5000 0.3884
```

Results
Energy relative to the elements, uncorrected: -2.082 eV/atom
D(E_F): 0.45 states/eV per atom
VASP energy: -91.5 eV for the cell shown

=====

# 3
Computed, not measured: crystalline K3Na2AgF9 at its relaxed geometry at the PBE level of DFT.

```
data_K3Na2AgF9
_space_group_name_H-M_alt 'P -3 m 1'
_space_group_IT_number 164
_space_group_name_Hall '-P 3 2"'
_cell_length_a 6.1380
_cell_length_b 6.1380
_cell_length_c 7.6378
_cell_angle_alpha 90.00
_cell_angle_beta 90.00
_cell_angle_gamma 120.00
loop_
_atom_site_label
_atom_site_type_symbol
_atom_site_fract_x
_atom_site_fract_y
_atom_site_fract_z
K1 K 0.0000 0.0000 0.0000
K2 K 0.3333 0.6667 0.7252
Na1 Na 0.3333 0.6667 0.1725
Ag1 Ag 0.0000 0.0000 0.5000
F1 F 0.0000 0.5000 0.0000
F2 F 0.1557 0.3115 0.3418
```

Results
Energy relative to the elements, uncorrected: -2.153 eV/atom
D(E_F): 0.85 states/eV per atom
VASP energy: -57.9 eV for the cell shown

=====

# 4
Computed, not measured: crystalline K2NaAgF6 at its relaxed geometry at the PBE level of DFT.

```
data_K2NaAgF6
_space_group_name_H-M_alt 'P 1 21/c 1'
_space_group_IT_number 14
_cell_length_a 6.1001
_cell_length_b 6.1632
_cell_length_c 10.5888
_cell_angle_alpha 90.00
_cell_angle_beta 125.16
_cell_angle_gamma 90.00
loop_
_space_group_symop_operation_xyz
'x,y,z'
'-x,-y,-z'
'-x,y+1/2,-z+1/2'
'x,-y+1/2,z+1/2'
loop_
_atom_site_label
_atom_site_type_symbol
_atom_site_fract_x
_atom_site_fract_y
_atom_site_fract_z
K1 K 0.2425 0.0371 0.2497
Na1 Na 0.0000 0.0000 0.5000
Ag1 Ag 0.5000 0.0000 0.0000
F1 F 0.1879 0.2015 0.9661
F2 F 0.2645 0.7221 0.9639
F3 F 0.3271 0.0173 0.7602
```

Results
Energy relative to the elements, uncorrected: -2.140 eV/atom
VASP energy: -78.0 eV for the cell shown

=====

# 5
Computed, not measured: crystalline KNaAgF6 at its relaxed geometry at the PBE level of DFT.

```
data_KNaAgF6
_space_group_name_H-M_alt 'P 1'
_space_group_IT_number 1
_cell_length_a 5.5282
_cell_length_b 5.7661
_cell_length_c 5.7732
_cell_angle_alpha 117.68
_cell_angle_beta 90.27
_cell_angle_gamma 90.34
loop_
_space_group_symop_operation_xyz
'x,y,z'
loop_
_atom_site_label
_atom_site_type_symbol
_atom_site_fract_x
_atom_site_fract_y
_atom_site_fract_z
K1 K 0.0000 0.0000 0.0000
Na1 Na 0.5000 0.3233 0.6773
Ag1 Ag 0.5007 0.6647 0.3354
F1 F 0.2784 0.9678 0.6188
F2 F 0.3042 0.3833 0.3443
F3 F 0.3043 0.6549 0.0453
F4 F 0.6969 0.9559 0.3463
F5 F 0.6976 0.6547 0.6156
F6 F 0.7232 0.3824 0.0314
```

Results
Energy relative to the elements, uncorrected: -1.781 eV/atom
D(E_F): 0.19 states/eV per atom
VASP energy: -32.5 eV for the cell shown

=====

# 6
Computed, not measured: crystalline K3NaAg2F9 at its relaxed geometry at the PBE level of DFT.

```
data_K3NaAg2F9
_space_group_name_H-M_alt 'P -3 m 1'
_space_group_IT_number 164
_space_group_name_Hall '-P 3 2"'
_cell_length_a 6.1425
_cell_length_b 6.1425
_cell_length_c 7.5408
_cell_angle_alpha 90.00
_cell_angle_beta 90.00
_cell_angle_gamma 120.00
loop_
_atom_site_label
_atom_site_type_symbol
_atom_site_fract_x
_atom_site_fract_y
_atom_site_fract_z
K1 K 0.0000 0.0000 0.0000
K2 K 0.3333 0.6667 0.6407
Na1 Na 0.0000 0.0000 0.5000
Ag1 Ag 0.3333 0.6667 0.1622
F1 F 0.0000 0.5000 0.0000
F2 F 0.1690 0.3380 0.3238
```

Results
Energy relative to the elements, uncorrected: -2.043 eV/atom
D(E_F): 0.23 states/eV per atom
VASP energy: -57.8 eV for the cell shown

=====

# 7
Computed, not measured: crystalline KNaAg2F8 at its relaxed geometry at the PBE level of DFT.

```
data_KNaAg2F8
_space_group_name_H-M_alt 'I -4'
_space_group_IT_number 82
_cell_length_a 6.0468
_cell_length_b 6.0468
_cell_length_c 10.0642
_cell_angle_alpha 90.00
_cell_angle_beta 90.00
_cell_angle_gamma 90.00
loop_
_space_group_symop_operation_xyz
'x,y,z'
'y,-x,-z'
'-x,-y,z'
'-y,x,-z'
'x+1/2,y+1/2,z+1/2'
'y+1/2,-x+1/2,-z+1/2'
'-x+1/2,-y+1/2,z+1/2'
'-y+1/2,x+1/2,-z+1/2'
loop_
_atom_site_label
_atom_site_type_symbol
_atom_site_fract_x
_atom_site_fract_y
_atom_site_fract_z
K1 K 0.0000 0.0000 0.0000
Na1 Na 0.0000 0.5000 0.7500
Ag1 Ag 0.0000 0.0000 0.5000
Ag2 Ag 0.0000 0.5000 0.2500
F1 F 0.0811 0.3134 0.5125
F2 F 0.1390 0.2047 0.2429
```

Results
Energy relative to the elements, uncorrected: -1.662 eV/atom
VASP energy: -86.1 eV for the cell shown

=====

# 8
Computed, not measured: crystalline K2NaAg2F6 at its relaxed geometry at the PBE level of DFT.

```
data_K2NaAg2F6
_space_group_name_H-M_alt 'C 1 2/m 1'
_space_group_IT_number 12
_cell_length_a 11.3974
_cell_length_b 6.3464
_cell_length_c 6.1626
_cell_angle_alpha 90.00
_cell_angle_beta 115.55
_cell_angle_gamma 90.00
loop_
_space_group_symop_operation_xyz
'x,y,z'
'-x,-y,-z'
'-x,y,-z'
'x,-y,z'
'x+1/2,y+1/2,z'
'-x+1/2,-y+1/2,-z'
'-x+1/2,y+1/2,-z'
'x+1/2,-y+1/2,z'
loop_
_atom_site_label
_atom_site_type_symbol
_atom_site_fract_x
_atom_site_fract_y
_atom_site_fract_z
K1 K 0.2186 0.0000 0.1363
Na1 Na 0.0000 0.0000 0.5000
Ag1 Ag 0.0761 0.5000 0.2708
F1 F 0.0724 0.2623 0.8063
F2 F 0.2180 0.0000 0.5676
```

Results
Energy relative to the elements, uncorrected: -1.913 eV/atom
D(E_F): 0.55 states/eV per atom
VASP energy: -83.0 eV for the cell shown

=====

# 9
Computed, not measured: crystalline KNa2AgF8 at its relaxed geometry at the PBE level of DFT.

```
data_KNa2AgF8
_space_group_name_H-M_alt 'P -1'
_space_group_IT_number 2
_cell_length_a 4.7472
_cell_length_b 5.1820
_cell_length_c 7.7860
_cell_angle_alpha 90.93
_cell_angle_beta 93.00
_cell_angle_gamma 93.22
loop_
_space_group_symop_operation_xyz
'x,y,z'
'-x,-y,-z'
loop_
_atom_site_label
_atom_site_type_symbol
_atom_site_fract_x
_atom_site_fract_y
_atom_site_fract_z
K1 K 0.0000 0.0000 0.0000
Na1 Na 0.4772 0.4724 0.7247
Ag1 Ag 0.0000 0.0000 0.5000
F1 F 0.1031 0.7376 0.2948
F2 F 0.1755 0.8176 0.6942
F3 F 0.3376 0.2334 0.4809
F4 F 0.4841 0.3087 0.0064
```

Results
Energy relative to the elements, uncorrected: -1.772 eV/atom
D(E_F): 0.15 states/eV per atom
VASP energy: -42.8 eV for the cell shown

=====

# 10
Computed, not measured: crystalline K3NaAg2F6 at its relaxed geometry at the PBE level of DFT.

```
data_K3NaAg2F6
_space_group_name_H-M_alt 'P -3 m 1'
_space_group_IT_number 164
_space_group_name_Hall '-P 3 2"'
_cell_length_a 6.3661
_cell_length_b 6.3661
_cell_length_c 6.6812
_cell_angle_alpha 90.00
_cell_angle_beta 90.00
_cell_angle_gamma 120.00
loop_
_atom_site_label
_atom_site_type_symbol
_atom_site_fract_x
_atom_site_fract_y
_atom_site_fract_z
K1 K 0.0000 0.0000 0.0000
K2 K 0.3333 0.6667 0.5846
Na1 Na 0.0000 0.0000 0.5000
Ag1 Ag 0.3333 0.6667 0.0966
F1 F 0.1647 0.3294 0.2884
```

Results
Energy relative to the elements, uncorrected: -1.998 eV/atom
VASP energy: -45.5 eV for the cell shown

=====

# 11
Computed, not measured: crystalline K4NaAg3F12 at its relaxed geometry at the PBE level of DFT.

```
data_K4NaAg3F12
_space_group_name_H-M_alt 'I m -3 m'
_space_group_IT_number 229
_space_group_name_Hall '-I 4 2 3'
_cell_length_a 8.7354
_cell_length_b 8.7354
_cell_length_c 8.7354
_cell_angle_alpha 90.00
_cell_angle_beta 90.00
_cell_angle_gamma 90.00
loop_
_atom_site_label
_atom_site_type_symbol
_atom_site_fract_x
_atom_site_fract_y
_atom_site_fract_z
K1 K 0.2500 0.2500 0.2500
Na1 Na 0.0000 0.0000 0.0000
Ag1 Ag 0.0000 0.0000 0.5000
F1 F 0.0000 0.0000 0.2590
F2 F 0.0000 0.2500 0.5000
```

Results
Energy relative to the elements, uncorrected: -2.003 eV/atom
D(E_F): 0.21 states/eV per atom
VASP energy: -153.5 eV for the cell shown

=====

# 12
Computed, not measured: crystalline KNaAg2F5 at its relaxed geometry at the PBE level of DFT.

```
data_KNaAg2F5
_space_group_name_H-M_alt 'P 4/m m m'
_space_group_IT_number 123
_space_group_name_Hall '-P 4 2'
_cell_length_a 4.3828
_cell_length_b 4.3828
_cell_length_c 7.8088
_cell_angle_alpha 90.00
_cell_angle_beta 90.00
_cell_angle_gamma 90.00
loop_
_atom_site_label
_atom_site_type_symbol
_atom_site_fract_x
_atom_site_fract_y
_atom_site_fract_z
K1 K 0.0000 0.0000 0.0000
Na1 Na 0.0000 0.0000 0.5000
Ag1 Ag 0.5000 0.5000 0.3033
F1 F 0.0000 0.5000 0.3159
F2 F 0.5000 0.5000 0.0000
```

Results
Energy relative to the elements, uncorrected: -1.815 eV/atom
D(E_F): 0.31 states/eV per atom
VASP energy: -33.8 eV for the cell shown

=====

VASP energy of number 6 (K3NaAg2F9)?
-57.8 eV for the cell shown